w.
# La5Nd2Ho4

An optimized crystal structure of La5Nd2Ho4 (PBE, the Alexandria database).

Cell: 9.186 9.186 11.814 Å, 93.74 93.74 22.47°
Sites, in units of the cell vectors:
La  0.000  0.000  0.000
La  0.324  0.324  0.928
La  0.405  0.405  0.467
La  0.595  0.595  0.533
La  0.676  0.676  0.072
Nd  0.217  0.217  0.350
Nd  0.783  0.783  0.650
Ho  0.140  0.140  0.799
Ho  0.468  0.468  0.740
Ho  0.532  0.532  0.260
Ho  0.860  0.860  0.201

Calculated values
magnetic moment: 0.00 μB/atom
V: 380.13 Å³ per cell
space-group type: No. 12

x.
# La5Nd2Ho4

An optimized crystal structure of La5Nd2Ho4 (PBE, the Alexandria database).

Cell: 12.897 12.897 12.897 Å, 164.07 137.58 45.59°
Sites, in units of the cell vectors:
La  0.000  0.000  0.000
La  0.055  0.355  0.700
La  0.345  0.645  0.700
La  0.655  0.355  0.300
La  0.945  0.645  0.300
Nd  0.268  0.768  0.500
Nd  0.732  0.232  0.500
Ho  0.317  0.500  0.817
Ho  0.404  0.904  0.500
Ho  0.596  0.096  0.500
Ho  0.683  0.500  0.183

Calculated values
magnetic moment: 0.00 μB/atom
V: 396.70 Å³ per cell
space-group type: No. 71

Verdict on stability: w comes out on top.

w.
# La12Nd7Ho

An optimized crystal structure of La12Nd7Ho (PBE, the Alexandria database).

Cell: 11.622 11.622 11.622 Å, 116.65 116.65 116.65°
Sites, in units of the cell vectors:
La  0.000  0.407  0.593
La  0.000  0.593  0.407
La  0.070  0.070  0.426
La  0.070  0.426  0.070
La  0.407  0.000  0.593
La  0.407  0.593  0.000
La  0.426  0.070  0.070
La  0.574  0.930  0.930
La  0.593  0.000  0.407
La  0.593  0.407  0.000
La  0.930  0.574  0.930
La  0.930  0.930  0.574
Nd  0.000  0.000  0.000
Nd  0.132  0.384  0.384
Nd  0.384  0.132  0.384
Nd  0.384  0.384  0.132
Nd  0.616  0.616  0.868
Nd  0.616  0.868  0.616
Nd  0.868  0.616  0.616
Ho  0.500  0.500  0.500

Calculated values
magnetic moment: 0.00 μB/atom
V: 729.30 Å³ per cell
space-group type: No. 166

x.
# La12Nd7Ho

An optimized crystal structure of La12Nd7Ho (PBE, the Alexandria database).

Cell: 8.965 8.965 8.965 Å, 89.61 89.61 89.61°
Sites, in units of the cell vectors:
La  0.016  0.356  0.897
La  0.103  0.984  0.644
La  0.221  0.755  0.355
La  0.245  0.645  0.779
La  0.355  0.221  0.755
La  0.356  0.897  0.016
La  0.644  0.103  0.984
La  0.645  0.779  0.245
La  0.755  0.355  0.221
La  0.779  0.245  0.645
La  0.897  0.016  0.356
La  0.984  0.644  0.103
Nd  0.000  0.000  0.000
Nd  0.117  0.362  0.428
Nd  0.362  0.428  0.117
Nd  0.428  0.117  0.362
Nd  0.572  0.883  0.638
Nd  0.638  0.572  0.883
Nd  0.883  0.638  0.572
Ho  0.500  0.500  0.500

Calculated values
magnetic moment: 0.00 μB/atom
V: 720.40 Å³ per cell
space-group type: No. 148

Verdict on stability: w comes out on top.

w.
# La6Nd12Ho

An optimized crystal structure of La6Nd12Ho (PBE, the Alexandria database).

Cell: 10.076 10.076 10.076 Å, 112.23 112.23 112.23°
Sites, in units of the cell vectors:
La  0.022  0.766  0.766
La  0.234  0.234  0.978
La  0.234  0.978  0.234
La  0.766  0.022  0.766
La  0.766  0.766  0.022
La  0.978  0.234  0.234
Nd  0.000  0.378  0.622
Nd  0.000  0.622  0.378
Nd  0.231  0.231  0.592
Nd  0.231  0.592  0.231
Nd  0.378  0.000  0.622
Nd  0.378  0.622  0.000
Nd  0.408  0.769  0.769
Nd  0.592  0.231  0.231
Nd  0.622  0.000  0.378
Nd  0.622  0.378  0.000
Nd  0.769  0.408  0.769
Nd  0.769  0.769  0.408
Ho  0.500  0.500  0.500

Calculated values
magnetic moment: 0.00 μB/atom
V: 695.36 Å³ per cell
space-group type: No. 166

x.
# La6Nd12Ho

An optimized crystal structure of La6Nd12Ho (PBE, the Alexandria database).

Cell: 8.809 8.809 8.809 Å, 89.69 89.69 89.69°
Sites, in units of the cell vectors:
La  0.200  0.766  0.594
La  0.234  0.406  0.800
La  0.406  0.800  0.234
La  0.594  0.200  0.766
La  0.766  0.594  0.200
La  0.800  0.234  0.406
Nd  0.033  0.937  0.281
Nd  0.063  0.719  0.967
Nd  0.138  0.479  0.315
Nd  0.281  0.033  0.937
Nd  0.315  0.138  0.479
Nd  0.479  0.315  0.138
Nd  0.521  0.685  0.862
Nd  0.685  0.862  0.521
Nd  0.719  0.967  0.063
Nd  0.862  0.521  0.685
Nd  0.937  0.281  0.033
Nd  0.967  0.063  0.719
Ho  0.500  0.500  0.500

Calculated values
magnetic moment: 0.00 μB/atom
V: 683.43 Å³ per cell
space-group type: No. 148

Verdict on stability: x comes out on top.

w.
# La4Nd2Ho3

An optimized crystal structure of La4Nd2Ho3 (PBE, the Alexandria database).

Cell: 8.189 8.189 8.163 Å, 107.65 107.65 36.87°
Sites, in units of the cell vectors:
La  0.054  0.054  0.333
La  0.277  0.277  0.667
La  0.723  0.723  0.333
La  0.946  0.946  0.667
Nd  0.166  0.166  0.000
Nd  0.834  0.834  0.000
Ho  0.389  0.389  0.330
Ho  0.500  0.500  0.000
Ho  0.611  0.611  0.670

Calculated values
magnetic moment: 0.00 μB/atom
V: 311.23 Å³ per cell
space-group type: No. 12

x.
# La4Nd2Ho3

An optimized crystal structure of La4Nd2Ho3 (PBE, the Alexandria database).

Cell: 10.017 8.536 6.960 Å, 79.84 57.01 43.15°
Sites, in units of the cell vectors:
La  0.048  0.333  0.667
La  0.333  0.048  0.952
La  0.667  0.952  0.048
La  0.952  0.667  0.333
Nd  0.391  0.391  0.609
Nd  0.609  0.609  0.391
Ho  0.000  0.000  0.000
Ho  0.000  0.000  0.500
Ho  0.500  0.500  0.000

Calculated values
magnetic moment: 0.00 μB/atom
V: 315.05 Å³ per cell
space-group type: No. 69

Verdict on stability: w comes out on top.

w.
# LaNd3Ho

An optimized crystal structure of LaNd3Ho (PBE, the Alexandria database).

Cell: 8.169 8.169 6.277 Å, 90.00 90.00 119.54°
Sites, in units of the cell vectors:
La  0.202  0.798  0.750
La  0.798  0.202  0.250
Nd  0.000  0.000  0.000
Nd  0.000  0.000  0.500
Nd  0.205  0.401  0.750
Nd  0.401  0.205  0.250
Nd  0.599  0.795  0.750
Nd  0.795  0.599  0.250
Ho  0.340  0.660  0.250
Ho  0.660  0.340  0.750

Calculated values
magnetic moment: 0.00 μB/atom
V: 364.45 Å³ per cell
space-group type: No. 63

x.
# LaNd3Ho

An optimized crystal structure of LaNd3Ho (PBE, the Alexandria database).

Cell: 9.514 9.514 6.109 Å, 108.63 108.63 42.45°
Sites, in units of the cell vectors:
La  0.000  0.000  0.000
La  0.000  0.000  0.500
Nd  0.114  0.579  0.597
Nd  0.227  0.227  0.977
Nd  0.421  0.886  0.403
Nd  0.579  0.114  0.597
Nd  0.773  0.773  0.023
Nd  0.886  0.421  0.403
Ho  0.450  0.450  0.200
Ho  0.550  0.550  0.800

Calculated values
magnetic moment: 0.00 μB/atom
V: 350.66 Å³ per cell
space-group type: No. 12

Verdict on stability: x comes out on top.

w.
# La4NdHo5

An optimized crystal structure of La4NdHo5 (PBE, the Alexandria database).

Cell: 8.796 8.796 11.519 Å, 90.33 90.33 23.29°
Sites, in units of the cell vectors:
La  0.034  0.034  0.248
La  0.338  0.338  0.250
La  0.662  0.662  0.750
La  0.966  0.966  0.752
Nd  0.500  0.500  0.500
Ho  0.172  0.172  0.046
Ho  0.174  0.174  0.449
Ho  0.500  0.500  0.000
Ho  0.826  0.826  0.551
Ho  0.828  0.828  0.954

Calculated values
magnetic moment: 0.00 μB/atom
V: 352.36 Å³ per cell
space-group type: No. 12

x.
# La4NdHo5

An optimized crystal structure of La4NdHo5 (PBE, the Alexandria database).

Cell: 8.135 8.135 8.135 Å, 98.27 98.27 135.42°
Sites, in units of the cell vectors:
La  0.000  0.325  0.325
La  0.000  0.675  0.675
La  0.325  0.000  0.325
La  0.675  0.000  0.675
Nd  0.276  0.276  0.000
Ho  0.357  0.357  0.621
Ho  0.357  0.735  0.000
Ho  0.735  0.357  0.000
Ho  0.735  0.735  0.379
Ho  0.802  0.802  0.000

Calculated values
magnetic moment: 0.00 μB/atom
V: 349.68 Å³ per cell
space-group type: No. 107

Verdict on stability: w comes out on top.

w.
# La2Nd4Ho3

An optimized crystal structure of La2Nd4Ho3 (PBE, the Alexandria database).

Cell: 3.645 3.645 27.223 Å, 90.00 90.00 120.00°
Sites, in units of the cell vectors:
La  0.000  0.000  0.000
La  0.000  0.000  0.215
Nd  0.000  0.000  0.348
Nd  0.000  0.000  0.559
Nd  0.333  0.667  0.671
Nd  0.333  0.667  0.884
Ho  0.000  0.000  0.778
Ho  0.333  0.667  0.109
Ho  0.333  0.667  0.452

Calculated values
magnetic moment: 0.00 μB/atom
V: 313.24 Å³ per cell
space-group type: No. 156

x.
# La2Nd4Ho3

An optimized crystal structure of La2Nd4Ho3 (PBE, the Alexandria database).

Cell: 8.935 8.935 9.912 Å, 99.63 99.63 23.23°
Sites, in units of the cell vectors:
La  0.173  0.173  0.374
La  0.827  0.827  0.626
Nd  0.001  0.001  0.833
Nd  0.165  0.165  0.720
Nd  0.835  0.835  0.280
Nd  0.999  0.999  0.167
Ho  0.339  0.339  0.962
Ho  0.500  0.500  0.500
Ho  0.661  0.661  0.038

Calculated values
magnetic moment: 0.00 μB/atom
V: 307.60 Å³ per cell
space-group type: No. 12

Verdict on stability: x comes out on top.

w.
# LaNd2Ho6

An optimized crystal structure of LaNd2Ho6 (PBE, the Alexandria database).

Cell: 7.669 7.669 7.669 Å, 57.91 57.91 57.91°
Sites, in units of the cell vectors:
La  0.000  0.000  0.000
Nd  0.561  0.561  0.561
Nd  0.738  0.738  0.738
Ho  0.058  0.058  0.531
Ho  0.058  0.531  0.058
Ho  0.267  0.267  0.703
Ho  0.267  0.703  0.267
Ho  0.531  0.058  0.058
Ho  0.703  0.267  0.267

Calculated values
magnetic moment: 0.00 μB/atom
V: 303.63 Å³ per cell
space-group type: No. 160

x.
# LaNd2Ho6

An optimized crystal structure of LaNd2Ho6 (PBE, the Alexandria database).

Cell: 9.795 9.795 3.550 Å, 90.00 90.00 120.00°
Sites, in units of the cell vectors:
La  0.000  0.000  0.000
Nd  0.333  0.667  0.237
Nd  0.667  0.333  0.763
Ho  0.022  0.669  0.731
Ho  0.331  0.353  0.731
Ho  0.353  0.022  0.269
Ho  0.647  0.978  0.731
Ho  0.669  0.647  0.269
Ho  0.978  0.331  0.269

Calculated values
magnetic moment: 0.00 μB/atom
V: 294.99 Å³ per cell
space-group type: No. 147

Verdict on stability: x comes out on top.

w.
# LaNd3Ho4

An optimized crystal structure of LaNd3Ho4 (PBE, the Alexandria database).

Cell: 9.022 9.022 9.022 Å, 157.96 98.97 85.25°
Sites, in units of the cell vectors:
La  0.000  0.000  0.000
Nd  0.242  0.742  0.500
Nd  0.500  0.500  0.000
Nd  0.758  0.258  0.500
Ho  0.116  0.865  0.251
Ho  0.386  0.135  0.251
Ho  0.614  0.865  0.749
Ho  0.884  0.135  0.749

Calculated values
magnetic moment: 0.00 μB/atom
V: 268.39 Å³ per cell
space-group type: No. 71

x.
# LaNd3Ho4

An optimized crystal structure of LaNd3Ho4 (PBE, the Alexandria database).

Cell: 11.610 7.339 6.321 Å, 90.00 90.00 90.00°
Sites, in units of the cell vectors:
La  0.000  0.126  0.000
La  0.500  0.874  0.500
Nd  0.000  0.871  0.501
Nd  0.249  0.129  0.337
Nd  0.251  0.871  0.837
Nd  0.500  0.129  0.001
Nd  0.749  0.871  0.837
Nd  0.751  0.129  0.337
Ho  0.000  0.381  0.502
Ho  0.000  0.621  0.003
Ho  0.249  0.621  0.335
Ho  0.251  0.379  0.835
Ho  0.500  0.379  0.503
Ho  0.500  0.619  0.002
Ho  0.749  0.379  0.835
Ho  0.751  0.621  0.335

Calculated values
magnetic moment: 0.00 μB/atom
V: 538.58 Å³ per cell
space-group type: No. 31

Verdict on stability: x comes out on top.

w.
# La2Nd7Ho3

An optimized crystal structure of La2Nd7Ho3 (PBE, the Alexandria database).

Cell: 19.612 19.612 3.678 Å, 90.00 90.00 162.77°
Sites, in units of the cell vectors:
La  0.149  0.851  0.000
La  0.851  0.149  0.000
Nd  0.000  0.000  0.000
Nd  0.071  0.929  0.500
Nd  0.231  0.769  0.000
Nd  0.410  0.590  0.000
Nd  0.590  0.410  0.000
Nd  0.769  0.231  0.000
Nd  0.929  0.071  0.500
Ho  0.314  0.686  0.500
Ho  0.500  0.500  0.500
Ho  0.686  0.314  0.500

Calculated values
magnetic moment: 0.00 μB/atom
V: 419.03 Å³ per cell
space-group type: No. 65

x.
# La2Nd7Ho3

An optimized crystal structure of La2Nd7Ho3 (PBE, the Alexandria database).

Cell: 6.522 3.595 17.824 Å, 90.00 95.80 90.00°
Sites, in units of the cell vectors:
La  0.059  0.000  0.170
La  0.941  0.000  0.830
Nd  0.000  0.500  0.500
Nd  0.229  0.000  0.669
Nd  0.258  0.000  0.996
Nd  0.279  0.500  0.336
Nd  0.721  0.500  0.664
Nd  0.742  0.000  0.004
Nd  0.771  0.000  0.331
Ho  0.455  0.500  0.841
Ho  0.500  0.000  0.500
Ho  0.545  0.500  0.159

Calculated values
magnetic moment: 0.00 μB/atom
V: 415.80 Å³ per cell
space-group type: No. 10

Verdict on stability: x comes out on top.